[1]
Computed, not measured: crystalline Sr2CuGe4Ir3 at its relaxed geometry at the PBE-GGA level of DFT.

The structure in CIF format:
```
data_Sr2CuGe4Ir3
_chemical_formula_sum 'Sr2 Cu1 Ge4 Ir3'
_symmetry_space_group_name_H-M 'P -4 m 2'
_symmetry_Int_Tables_number 115
_symmetry_space_group_name_Hall 'P -4 -2'
_cell_length_a 4.3749
_cell_length_b 4.3749
_cell_length_c 10.1229
_cell_angle_alpha 90.00
_cell_angle_beta 90.00
_cell_angle_gamma 90.00
loop_
_atom_site_label
_atom_site_type_symbol
_atom_site_fract_x
_atom_site_fract_y
_atom_site_fract_z
Sr1 Sr 0.0000 0.5000 0.2490
Cu1 Cu 0.0000 0.0000 0.5000
Ge1 Ge 0.0000 0.0000 0.0000
Ge2 Ge 0.0000 0.5000 0.6255
Ge3 Ge 0.5000 0.5000 0.0000
Ir1 Ir 0.0000 0.5000 0.8751
Ir2 Ir 0.5000 0.5000 0.5000
```

Computed properties:
Uncorrected energy = -5.756 eV/atom
Formation enthalpy at 0 K = -0.504 eV per atom
N(E_F) = 5.65 states/eV per cell
Total moment = 0.0 μB per cell

=====

[2]
Computed, not measured: crystalline Ba3SiOs at its relaxed geometry at the PBE-GGA level of DFT.

The structure in CIF format:
```
data_Ba3SiOs
_chemical_formula_sum 'Ba3 Si1 Os1'
_symmetry_space_group_name_H-M 'P m -3 m'
_symmetry_Int_Tables_number 221
_symmetry_space_group_name_Hall '-P 4 2 3'
_cell_length_a 5.8464
_cell_length_b 5.8464
_cell_length_c 5.8464
_cell_angle_alpha 90.00
_cell_angle_beta 90.00
_cell_angle_gamma 90.00
loop_
_atom_site_label
_atom_site_type_symbol
_atom_site_fract_x
_atom_site_fract_y
_atom_site_fract_z
Ba1 Ba 0.0000 0.0000 0.5000
Si1 Si 0.5000 0.5000 0.5000
Os1 Os 0.0000 0.0000 0.0000
```

Computed properties:
Uncorrected energy = -3.928 eV/atom
N(E_F) = 4.11 states/eV per cell
Formation energy without anion corrections = 0.556 eV/atom
Total moment = 1.2 μB per cell

=====

[3]
Computed, not measured: crystalline Cs2GaCuCl6 at its relaxed geometry at the PBE-GGA level of DFT.

The structure in CIF format:
```
data_Cs2GaCuCl6
_chemical_formula_sum 'Cs4 Ga2 Cu2 Cl12'
_symmetry_space_group_name_H-M 'I 4/m m m'
_symmetry_Int_Tables_number 139
_symmetry_space_group_name_Hall '-I 4 2'
_cell_length_a 7.0356
_cell_length_b 7.0356
_cell_length_c 10.8870
_cell_angle_alpha 90.00
_cell_angle_beta 90.00
_cell_angle_gamma 90.00
loop_
_atom_site_label
_atom_site_type_symbol
_atom_site_fract_x
_atom_site_fract_y
_atom_site_fract_z
Cs1 Cs 0.0000 0.5000 0.2500
Ga1 Ga 0.0000 0.0000 0.0000
Cu1 Cu 0.0000 0.0000 0.5000
Cl1 Cl 0.0000 0.0000 0.2153
Cl2 Cl 0.2460 0.2460 0.5000
```

Computed properties:
Uncorrected energy = -3.290 eV/atom
Energy above the lowest structure with this stoichiometry = 24.1 meV per atom
N(E_F) = 0.07 states/eV per cell
Formation energy without anion corrections = -1.299 eV/atom
Total moment = 0.0 μB per cell

=====

[4]
Computed, not measured: crystalline BaPdOF2 at its relaxed geometry at the PBE-GGA level of DFT.

The structure in CIF format:
```
data_BaPdOF2
_chemical_formula_sum 'Ba1 Pd1 O1 F2'
_symmetry_space_group_name_H-M 'P 4/m m m'
_symmetry_Int_Tables_number 123
_symmetry_space_group_name_Hall '-P 4 2'
_cell_length_a 4.9821
_cell_length_b 4.9821
_cell_length_c 5.1386
_cell_angle_alpha 90.00
_cell_angle_beta 90.00
_cell_angle_gamma 90.00
loop_
_atom_site_label
_atom_site_type_symbol
_atom_site_fract_x
_atom_site_fract_y
_atom_site_fract_z
Ba1 Ba 0.0000 0.0000 0.0000
Pd1 Pd 0.5000 0.5000 0.5000
O1 O 0.0000 0.0000 0.5000
F1 F 0.0000 0.5000 0.0000
```

Computed properties:
Uncorrected energy = -4.320 eV/atom
Energy above the lowest structure with this stoichiometry = 829.9 meV per atom
N(E_F) = 4.98 states/eV per cell
Formation energy without anion corrections = -1.156 eV/atom
Total moment = 2.0 μB per cell